Rb2HfSF6 | GGA-PBE | relaxed

total moment = 0.200 μB per atom
mass density = 3.55 g cm⁻³
uncorrected formation energy = -2.75 eV/atom
energy = -54.78 eV/cell

abc: 7.0278 7.0278 7.0278
angles: 123.34 123.34 84.31
With the nearest neighbours (Å) after each atom.
Element x y z (fractional)
Rb: 0.2500 0.7500 0.5000  12 F 3.39-3.53
Rb: 0.7500 0.2500 0.5000  12 F 3.39-3.53
Hf: 0.0000 0.0000 0.0000  6 F 2.00
S: 0.5000 0.5000 0.0000  4 F 2.71
F: 0.1924 0.1924 0.0000  1 Hf 2.00
F: 0.2123 0.2123 0.4246  1 Hf 2.00
F: 0.2123 0.7877 0.0000  1 Hf 2.00
F: 0.7877 0.2123 0.0000  1 Hf 2.00
F: 0.7877 0.7877 0.5754  1 Hf 2.00
F: 0.8076 0.8076 0.0000  1 Hf 2.00